VASP calculation (GGA-PBE) on a relaxed ErAlOs crystal.

Lattice parameters (Å, degrees): 4.343 4.343 3.549 90.00 90.00 120.00
Fractional coordinates of all 3 atoms:
Er: 0.000 0.000 0.000
Al: 0.333 0.667 0.500
Os: 0.667 0.333 0.500

VASP calculation (GGA-PBE) on a relaxed ErAlOs crystal.

Lattice parameters (Å, degrees): 5.428 5.448 7.371 90.00 90.00 90.00
Fractional coordinates of all 12 atoms:
Er: 0.000 0.250 0.134
Er: 0.000 0.750 0.866
Er: 0.500 0.250 0.366
Er: 0.500 0.750 0.634
Al: 0.250 0.250 0.750
Al: 0.250 0.750 0.250
Al: 0.750 0.250 0.750
Al: 0.750 0.750 0.250
Os: 0.000 0.000 0.500
Os: 0.000 0.500 0.500
Os: 0.500 0.000 0.000
Os: 0.500 0.500 0.000

VASP calculation (GGA-PBE) on a relaxed Er8Al2Os crystal.

Lattice parameters (Å, degrees): 9.079 9.079 6.865 110.49 110.49 32.93
Fractional coordinates of all 11 atoms:
Er: 0.016 0.016 0.284
Er: 0.200 0.200 0.782
Er: 0.348 0.348 0.557
Er: 0.404 0.404 0.075
Er: 0.596 0.596 0.925
Er: 0.652 0.652 0.443
Er: 0.800 0.800 0.218
Er: 0.984 0.984 0.716
Al: 0.179 0.179 0.196
Al: 0.821 0.821 0.804
Os: 0.500 0.500 0.500

Number 1: DFT total energy -6.85 eV per atom, formation energy from the elements -0.34 eV per atom. Number 2: DFT total energy -7.02 eV per atom, formation energy from the elements -0.51 eV per atom. Number 3: DFT total energy -5.24 eV per atom, formation energy from the elements -0.22 eV per atom.